# 1
Compound: Dy2Th
Source: the Alexandria database
Functional: PBE
Structure: optimized geometry

Unit cell a=3.5569 b=3.5569 c=17.2690 alpha=90.00 beta=90.00 gamma=119.33
Element x y z (fractional)
Dy: 0.1643 0.8357 0.8382
Dy: 0.3357 0.6643 0.3382
Dy: 0.6643 0.3357 0.6618
Dy: 0.8357 0.1643 0.1618
Th: 0.0000 0.0000 0.5000
Th: 0.5000 0.5000 0.0000

Results
- Energy of formation from the pure elements: 0.024 eV/atom
- Excess energy over the best structure of this formula in the dataset: 36 meV/atom

***

# 2
Compound: Dy2Fe17B3
Source: the Alexandria database
Functional: PBE
Structure: optimized geometry

Unit cell a=6.5226 b=6.5226 c=6.5226 alpha=83.64 beta=83.64 gamma=83.64
Element x y z (fractional)
Dy: 0.1566 0.1566 0.1566
Dy: 0.8434 0.8434 0.8434
Fe: 0.0000 0.5000 0.5000
Fe: 0.1608 0.1608 0.6505
Fe: 0.1608 0.6505 0.1608
Fe: 0.2211 0.5000 0.7789
Fe: 0.2211 0.7789 0.5000
Fe: 0.3495 0.8392 0.8392
Fe: 0.4036 0.4036 0.4036
Fe: 0.5000 0.0000 0.5000
Fe: 0.5000 0.2211 0.7789
Fe: 0.5000 0.5000 0.0000
Fe: 0.5000 0.7789 0.2211
Fe: 0.5964 0.5964 0.5964
Fe: 0.6505 0.1608 0.1608
Fe: 0.7789 0.2211 0.5000
Fe: 0.7789 0.5000 0.2211
Fe: 0.8392 0.3495 0.8392
Fe: 0.8392 0.8392 0.3495
B: 0.0000 0.0000 0.5000
B: 0.0000 0.5000 0.0000
B: 0.5000 0.0000 0.0000

Results
- Energy of formation from the pure elements: -0.085 eV/atom

***

# 3
Compound: BaTa2Pd
Source: the Alexandria database
Functional: PBE
Structure: optimized geometry

Unit cell a=4.8383 b=4.8383 c=4.8383 alpha=60.00 beta=60.00 gamma=60.00
Element x y z (fractional)
Ba: 0.0000 0.0000 0.0000
Ta: 0.2500 0.2500 0.2500
Ta: 0.7500 0.7500 0.7500
Pd: 0.5000 0.5000 0.5000

Results
- Energy of formation from the pure elements: 0.998 eV/atom
- Excess energy over the best structure of this formula in the dataset: 20 meV/atom

***

# 4
Compound: Tl3AgSb2Te6
Source: the Alexandria database
Functional: PBE
Structure: optimized geometry

Unit cell a=7.6790 b=7.6790 c=7.9900 alpha=99.13 beta=99.13 gamma=120.03
Element x y z (fractional)
Tl: 0.0000 0.0000 0.0000
Tl: 0.3234 0.6766 0.0000
Tl: 0.6766 0.3234 0.0000
Ag: 0.5000 0.5000 0.5000
Sb: 0.1638 0.8362 0.5000
Sb: 0.8362 0.1638 0.5000
Te: 0.1030 0.4269 0.2792
Te: 0.2495 0.2495 0.7241
Te: 0.4269 0.1030 0.2792
Te: 0.5731 0.8970 0.7208
Te: 0.7505 0.7505 0.2759
Te: 0.8970 0.5731 0.7208

Results
- Formation energy from raw total energies: -163 meV per atom

***

# 5
Compound: TaPb2N
Source: the Alexandria database
Functional: PBE
Structure: optimized geometry

Unit cell a=5.9596 b=5.9596 c=5.9596 alpha=107.48 beta=107.48 gamma=113.52
Element x y z (fractional)
Ta: 0.0000 0.0000 0.0000
Ta: 0.7500 0.2500 0.5000
Pb: 0.1915 0.6250 0.0665
Pb: 0.3750 0.4415 0.5665
Pb: 0.5585 0.1250 0.9335
Pb: 0.8750 0.8085 0.4335
N: 0.2500 0.7500 0.5000
N: 0.5000 0.5000 0.0000

Results
- Formation energy from raw total energies: 1199 meV per atom

***

# 6
Compound: Sc4Bi5N
Source: the Alexandria database
Functional: PBE
Structure: optimized geometry

Unit cell a=8.9845 b=8.9845 c=8.4735 alpha=100.09 beta=100.09 gamma=22.00
Element x y z (fractional)
Sc: 0.0171 0.0171 0.3325
Sc: 0.3752 0.3752 0.4026
Sc: 0.6248 0.6248 0.5974
Sc: 0.9829 0.9829 0.6675
Bi: 0.1524 0.1524 0.9082
Bi: 0.1932 0.1932 0.3398
Bi: 0.5000 0.5000 0.0000
Bi: 0.8068 0.8068 0.6602
Bi: 0.8476 0.8476 0.0918
N: 0.5000 0.5000 0.5000

Results
- Formation energy from raw total energies: -616 meV per atom

***

# 7
Compound: GaTeI2O
Source: the Alexandria database
Functional: PBE
Structure: optimized geometry

Unit cell a=5.4997 b=5.4997 c=5.4480 alpha=90.00 beta=90.00 gamma=90.00
Element x y z (fractional)
Ga: 0.0000 0.0000 0.0000
Te: 0.0000 0.0000 0.5000
I: 0.0000 0.5000 0.0000
I: 0.5000 0.0000 0.0000
O: 0.5000 0.5000 0.5000

Results
- Formation energy from raw total energies: 819 meV per atom
- Excess energy over the best structure of this formula in the dataset: 1057 meV/atom

***

# 8
Compound: CeSmCd3
Source: the Alexandria database
Functional: PBE
Structure: optimized geometry

Unit cell a=9.3646 b=5.4499 c=10.9880 alpha=90.00 beta=106.67 gamma=90.00
Element x y z (fractional)
Ce: 0.2070 0.2488 0.4166
Ce: 0.2070 0.2512 0.9166
Ce: 0.7930 0.7488 0.0834
Ce: 0.7930 0.7512 0.5834
Sm: 0.2052 0.7488 0.1850
Sm: 0.2052 0.7512 0.6850
Sm: 0.7948 0.2488 0.3150
Sm: 0.7948 0.2512 0.8150
Cd: 0.0021 0.7486 0.3884
Cd: 0.0021 0.7514 0.8884
Cd: 0.4126 0.7494 0.4938
Cd: 0.4126 0.7506 0.9938
Cd: 0.4167 0.2489 0.2129
Cd: 0.4167 0.2511 0.7129
Cd: 0.5833 0.7489 0.2871
Cd: 0.5833 0.7511 0.7871
Cd: 0.5874 0.2494 0.0062
Cd: 0.5874 0.2506 0.5062
Cd: 0.9979 0.2486 0.1116
Cd: 0.9979 0.2514 0.6116

Results
- Energy of formation from the pure elements: -0.181 eV/atom
- Excess energy over the best structure of this formula in the dataset: 69 meV/atom